No. 1
VASP calculation (GGA-PBE) on a relaxed CaCePmN3 crystal.

Properties
Crystal system ... monoclinic
Uncorrected formation energy ... -661 kJ/mol of formula units

abc: 3.4151 6.0831 9.5483
angles: 92.47 90.00 90.00
Fractional positions:
N 0.2500 0.7820 0.5452
N 0.2500 0.4846 0.8169
N 0.7500 0.5154 0.1831
N 0.7500 0.2180 0.4548
N 0.2500 0.9681 0.8349
N 0.7500 0.0319 0.1651
Pm 0.2500 0.1968 0.6166
Pm 0.7500 0.8032 0.3834
Ca 0.2500 0.7640 0.0628
Ca 0.7500 0.2360 0.9372
Ce 0.2500 0.2767 0.2547
Ce 0.7500 0.7233 0.7453

No. 2
VASP calculation (GGA-PBE) on a relaxed ScNb3Tc crystal.

Properties
Crystal system ... cubic
Offset from the most stable computed form ... 0.0 meV/atom

abc: 4.8403 4.8403 4.8403
angles: 90.00 90.00 90.00
Fractional positions:
Tc 0.0000 0.0000 0.0000
Nb 0.5000 0.0000 0.0000
Nb 0.0000 0.5000 0.0000
Nb 0.0000 0.0000 0.5000
Sc 0.5000 0.5000 0.5000

no.,raw total energy (eV per atom)
1,-7.418
2,-8.578